<one>
This record from Alexandria describes an optimized crystal structure of TeSN2. The functional is PBE.

Properties
N(E_F): 0.7 states/eV/f.u.
Total magnetic moment: 0.0 μB/cell

```
data_TeSN2
_cell_length_a 3.093
_cell_length_b 6.332
_cell_length_c 12.777
_cell_angle_alpha 89.65
_cell_angle_beta 83.07
_cell_angle_gamma 87.78
_space_group_name_H-M_alt 'P -1'
_space_group_IT_number 2
loop_
_space_group_symop_operation_xyz
'x,y,z'
'-x,-y,-z'
loop_
_atom_site_label
_atom_site_type_symbol
_atom_site_fract_x
_atom_site_fract_y
_atom_site_fract_z
Te1 Te 0.000 0.000 0.000
Te2 Te 0.000 0.500 0.000
S1 S 0.084 0.251 0.832
N1 N 0.196 0.839 0.598
N2 N 0.207 0.663 0.597
```



<two>
This record from Alexandria describes an optimized crystal structure of TeSN2. The functional is PBE.

Properties
N(E_F): 3.1 states/eV/f.u.
Total magnetic moment: 0.0 μB/cell

```
data_TeSN2
_cell_length_a 3.4214
_cell_length_b 3.4214
_cell_length_c 18.5182
_cell_angle_alpha 90.00
_cell_angle_beta 90.00
_cell_angle_gamma 120.00
_space_group_name_H-M_alt 'R -3 m'
_space_group_IT_number 166
_space_group_name_Hall '-R 3 2"'
loop_
_atom_site_label
_atom_site_type_symbol
_atom_site_fract_x
_atom_site_fract_y
_atom_site_fract_z
Te1 Te 0.0000 0.0000 0.0000
S1 S 0.0000 0.0000 0.5000
N1 N 0.0000 0.0000 0.4013
```



The most stable arrangement is <one>, and the next structure is 100.7 kJ/mol of atoms less stable.



<one>
This record from Alexandria describes an optimized crystal structure of Te2SN. The functional is PBE.

Properties
N(E_F): 3.3 states/eV/f.u.
Total magnetic moment: 0.0 μB/cell

```
data_Te2SN
_cell_length_a 6.635
_cell_length_b 6.635
_cell_length_c 6.635
_cell_angle_alpha 90.00
_cell_angle_beta 90.00
_cell_angle_gamma 90.00
_space_group_name_H-M_alt 'F m -3 m'
_space_group_IT_number 225
_space_group_name_Hall '-F 4 2 3'
loop_
_atom_site_label
_atom_site_type_symbol
_atom_site_fract_x
_atom_site_fract_y
_atom_site_fract_z
Te1 Te 0.250 0.250 0.250
S1 S 0.000 0.000 0.000
N1 N 0.000 0.000 0.500
```



<two>
This record from Alexandria describes an optimized crystal structure of Te2SN. The functional is PBE.

Properties
N(E_F): 2.1 states/eV/f.u.
Total magnetic moment: 0.0 μB/cell

```
data_Te2SN
_cell_length_a 3.7289
_cell_length_b 3.7289
_cell_length_c 23.9776
_cell_angle_alpha 90.00
_cell_angle_beta 90.00
_cell_angle_gamma 120.00
_space_group_name_H-M_alt 'R -3 m'
_space_group_IT_number 166
_space_group_name_Hall '-R 3 2"'
loop_
_atom_site_label
_atom_site_type_symbol
_atom_site_fract_x
_atom_site_fract_y
_atom_site_fract_z
Te1 Te 0.0000 0.0000 0.0811
S1 S 0.0000 0.0000 0.5000
N1 N 0.0000 0.0000 0.0000
```



<three>
This record from Alexandria describes an optimized crystal structure of Te2SN. The functional is PBE.

Properties
N(E_F): 2.2 states/eV/f.u.
Total magnetic moment: 0.0 μB/cell

```
data_Te2SN
_cell_length_a 6.721
_cell_length_b 6.721
_cell_length_c 7.616
_cell_angle_alpha 90.00
_cell_angle_beta 90.00
_cell_angle_gamma 90.00
_space_group_name_H-M_alt 'I -4 2 d'
_space_group_IT_number 122
_space_group_name_Hall 'I -4 2bw'
loop_
_atom_site_label
_atom_site_type_symbol
_atom_site_fract_x
_atom_site_fract_y
_atom_site_fract_z
Te1 Te 0.190 0.250 0.125
S1 S 0.000 0.000 0.500
N1 N 0.000 0.000 0.000
```



The most stable arrangement is <two>, and the next structure is 1.4 kJ/mol of atoms less stable.



<one>
This record from Alexandria describes an optimized crystal structure of TeS3N. The functional is PBE.

Properties
N(E_F): 0.5 states/eV/f.u.
Total magnetic moment: 0.0 μB/cell

```
data_TeS3N
_cell_length_a 17.752
_cell_length_b 3.405
_cell_length_c 9.157
_cell_angle_alpha 90.00
_cell_angle_beta 105.60
_cell_angle_gamma 90.00
_space_group_name_H-M_alt 'C 1 2/m 1'
_space_group_IT_number 12
loop_
_space_group_symop_operation_xyz
'x,y,z'
'-x,-y,-z'
'-x,y,-z'
'x,-y,z'
'x+1/2,y+1/2,z'
'-x+1/2,-y+1/2,-z'
'-x+1/2,y+1/2,-z'
'x+1/2,-y+1/2,z'
loop_
_atom_site_label
_atom_site_type_symbol
_atom_site_fract_x
_atom_site_fract_y
_atom_site_fract_z
Te1 Te 0.227 0.000 0.279
S1 S 0.018 0.500 0.898
S2 S 0.137 0.000 0.412
S3 S 0.137 0.500 0.966
N1 N 0.165 0.000 0.049
```



<two>
This record from Alexandria describes an optimized crystal structure of TeS3N. The functional is PBE.

Properties
N(E_F): 4.9 states/eV/f.u.
Total magnetic moment: 0.0 μB/cell

```
data_TeS3N
_cell_length_a 4.284
_cell_length_b 4.284
_cell_length_c 4.284
_cell_angle_alpha 90.00
_cell_angle_beta 90.00
_cell_angle_gamma 90.00
_space_group_name_H-M_alt 'P m -3 m'
_space_group_IT_number 221
_space_group_name_Hall '-P 4 2 3'
loop_
_atom_site_label
_atom_site_type_symbol
_atom_site_fract_x
_atom_site_fract_y
_atom_site_fract_z
Te1 Te 0.000 0.000 0.000
S1 S 0.000 0.500 0.500
N1 N 0.500 0.500 0.500
```



The most stable arrangement is <one>, and the next structure is 49.2 kJ/mol of atoms less stable.



<one>
This record from Alexandria describes an optimized crystal structure of TeS2N. The functional is PBE.

Properties
N(E_F): 1.9 states/eV/f.u.
Total magnetic moment: 0.0 μB/cell

```
data_TeS2N
_cell_length_a 3.4334
_cell_length_b 3.4334
_cell_length_c 25.9251
_cell_angle_alpha 90.00
_cell_angle_beta 90.00
_cell_angle_gamma 120.00
_space_group_name_H-M_alt 'R -3 m'
_space_group_IT_number 166
_space_group_name_Hall '-R 3 2"'
loop_
_atom_site_label
_atom_site_type_symbol
_atom_site_fract_x
_atom_site_fract_y
_atom_site_fract_z
Te1 Te 0.0000 0.0000 0.0000
S1 S 0.0000 0.0000 0.4409
N1 N 0.0000 0.0000 0.5000
```



<two>
This record from Alexandria describes an optimized crystal structure of TeS2N. The functional is PBE.

Properties
N(E_F): 1.8 states/eV/f.u.
Total magnetic moment: 0.0 μB/cell

```
data_TeS2N
_cell_length_a 3.3520
_cell_length_b 3.3520
_cell_length_c 23.1804
_cell_angle_alpha 90.00
_cell_angle_beta 90.00
_cell_angle_gamma 120.00
_space_group_name_H-M_alt 'R -3 m'
_space_group_IT_number 166
_space_group_name_Hall '-R 3 2"'
loop_
_atom_site_label
_atom_site_type_symbol
_atom_site_fract_x
_atom_site_fract_y
_atom_site_fract_z
Te1 Te 0.0000 0.0000 0.0000
S1 S 0.0000 0.0000 0.1143
N1 N 0.0000 0.0000 0.5000
```



<three>
This record from Alexandria describes an optimized crystal structure of TeS2N. The functional is PBE.

Properties
N(E_F): 2.5 states/eV/f.u.
Total magnetic moment: 0.0 μB/cell

```
data_TeS2N
_cell_length_a 5.366
_cell_length_b 5.366
_cell_length_c 10.567
_cell_angle_alpha 90.00
_cell_angle_beta 90.00
_cell_angle_gamma 90.00
_space_group_name_H-M_alt 'I -4 2 d'
_space_group_IT_number 122
_space_group_name_Hall 'I -4 2bw'
loop_
_atom_site_label
_atom_site_type_symbol
_atom_site_fract_x
_atom_site_fract_y
_atom_site_fract_z
Te1 Te 0.000 0.000 0.000
S1 S 0.050 0.250 0.625
N1 N 0.000 0.000 0.500
```



<four>
This record from Alexandria describes an optimized crystal structure of TeS2N. The functional is PBE.

Properties
N(E_F): 2.1 states/eV/f.u.
Total magnetic moment: 8.0 μB/cell

```
data_TeS2N
_cell_length_a 6.457
_cell_length_b 6.457
_cell_length_c 6.457
_cell_angle_alpha 90.00
_cell_angle_beta 90.00
_cell_angle_gamma 90.00
_space_group_name_H-M_alt 'F m -3 m'
_space_group_IT_number 225
_space_group_name_Hall '-F 4 2 3'
loop_
_atom_site_label
_atom_site_type_symbol
_atom_site_fract_x
_atom_site_fract_y
_atom_site_fract_z
Te1 Te 0.000 0.000 0.000
S1 S 0.250 0.250 0.250
N1 N 0.000 0.000 0.500
```



The most stable arrangement is <one>, and the next structure is 49.4 kJ/mol of atoms less stable.



<one>
This record from Alexandria describes an optimized crystal structure of TiTeS2N. The functional is PBE.

Properties
N(E_F): 3.8 states/eV/f.u.
Total magnetic moment: 0.0 μB/cell

```
data_TiTeS2N
_cell_length_a 4.920
_cell_length_b 4.920
_cell_length_c 3.761
_cell_angle_alpha 90.00
_cell_angle_beta 90.00
_cell_angle_gamma 90.00
_space_group_name_H-M_alt 'P 4/m m m'
_space_group_IT_number 123
_space_group_name_Hall '-P 4 2'
loop_
_atom_site_label
_atom_site_type_symbol
_atom_site_fract_x
_atom_site_fract_y
_atom_site_fract_z
Ti1 Ti 0.000 0.000 0.000
Te1 Te 0.500 0.500 0.500
S1 S 0.000 0.500 0.000
N1 N 0.000 0.000 0.500
```



<two>
This record from Alexandria describes an optimized crystal structure of TiTeS2N. The functional is PBE.

Properties
N(E_F): 4.1 states/eV/f.u.
Total magnetic moment: 1.8 μB/cell

```
data_TiTeS2N
_cell_length_a 5.103
_cell_length_b 5.103
_cell_length_c 3.895
_cell_angle_alpha 90.00
_cell_angle_beta 90.00
_cell_angle_gamma 90.00
_space_group_name_H-M_alt 'P 4/m m m'
_space_group_IT_number 123
_space_group_name_Hall '-P 4 2'
loop_
_atom_site_label
_atom_site_type_symbol
_atom_site_fract_x
_atom_site_fract_y
_atom_site_fract_z
Ti1 Ti 0.000 0.000 0.000
Te1 Te 0.500 0.500 0.500
S1 S 0.000 0.500 0.500
N1 N 0.500 0.500 0.000
```



The most stable arrangement is <one>, and the next structure is 77.5 kJ/mol of atoms less stable.



<one>
This record from Alexandria describes an optimized crystal structure of TlTe2SN. The functional is PBE.

Properties
N(E_F): 5.4 states/eV/f.u.
Total magnetic moment: 1.7 μB/cell

```
data_TlTe2SN
_cell_length_a 5.894
_cell_length_b 5.894
_cell_length_c 4.160
_cell_angle_alpha 90.00
_cell_angle_beta 90.00
_cell_angle_gamma 90.00
_space_group_name_H-M_alt 'P 4/m m m'
_space_group_IT_number 123
_space_group_name_Hall '-P 4 2'
loop_
_atom_site_label
_atom_site_type_symbol
_atom_site_fract_x
_atom_site_fract_y
_atom_site_fract_z
Tl1 Tl 0.000 0.000 0.000
Te1 Te 0.000 0.500 0.000
S1 S 0.500 0.500 0.500
N1 N 0.000 0.000 0.500
```



<two>
This record from Alexandria describes an optimized crystal structure of TlTe2SN. The functional is PBE.

Properties
N(E_F): 5.0 states/eV/f.u.
Total magnetic moment: 0.0 μB/cell

```
data_TlTe2SN
_cell_length_a 6.358
_cell_length_b 6.358
_cell_length_c 3.264
_cell_angle_alpha 90.00
_cell_angle_beta 90.00
_cell_angle_gamma 90.00
_space_group_name_H-M_alt 'P 4/m m m'
_space_group_IT_number 123
_space_group_name_Hall '-P 4 2'
loop_
_atom_site_label
_atom_site_type_symbol
_atom_site_fract_x
_atom_site_fract_y
_atom_site_fract_z
Tl1 Tl 0.000 0.000 0.000
Te1 Te 0.000 0.500 0.500
S1 S 0.500 0.500 0.500
N1 N 0.500 0.500 0.000
```



The most stable arrangement is <two>, and the next structure is 86.3 kJ/mol of atoms less stable.



<one>
This record from Alexandria describes an optimized crystal structure of VTeSN2. The functional is PBE.

Properties
N(E_F): 7.5 states/eV/f.u.
Total magnetic moment: 0.0 μB/cell

```
data_VTeSN2
_cell_length_a 3.596
_cell_length_b 3.596
_cell_length_c 6.599
_cell_angle_alpha 90.00
_cell_angle_beta 90.00
_cell_angle_gamma 90.00
_space_group_name_H-M_alt 'P 4/m m m'
_space_group_IT_number 123
_space_group_name_Hall '-P 4 2'
loop_
_atom_site_label
_atom_site_type_symbol
_atom_site_fract_x
_atom_site_fract_y
_atom_site_fract_z
V1 V 0.000 0.000 0.000
Te1 Te 0.500 0.500 0.000
S1 S 0.500 0.500 0.500
N1 N 0.000 0.500 0.500
```



<two>
This record from Alexandria describes an optimized crystal structure of VTeSN2. The functional is PBE.

Properties
N(E_F): 7.7 states/eV/f.u.
Total magnetic moment: 0.4 μB/cell

```
data_VTeSN2
_cell_length_a 3.926
_cell_length_b 3.926
_cell_length_c 5.277
_cell_angle_alpha 90.00
_cell_angle_beta 90.00
_cell_angle_gamma 90.00
_space_group_name_H-M_alt 'P 4/m m m'
_space_group_IT_number 123
_space_group_name_Hall '-P 4 2'
loop_
_atom_site_label
_atom_site_type_symbol
_atom_site_fract_x
_atom_site_fract_y
_atom_site_fract_z
V1 V 0.000 0.000 0.000
Te1 Te 0.500 0.500 0.500
S1 S 0.500 0.500 0.000
N1 N 0.000 0.500 0.500
```



<three>
This record from Alexandria describes an optimized crystal structure of VTeSN2. The functional is PBE.

Properties
N(E_F): 3.7 states/eV/f.u.
Total magnetic moment: 0.0 μB/cell

```
data_VTeSN2
_cell_length_a 3.851
_cell_length_b 3.851
_cell_length_c 4.942
_cell_angle_alpha 90.00
_cell_angle_beta 90.00
_cell_angle_gamma 90.00
_space_group_name_H-M_alt 'P 4/m m m'
_space_group_IT_number 123
_space_group_name_Hall '-P 4 2'
loop_
_atom_site_label
_atom_site_type_symbol
_atom_site_fract_x
_atom_site_fract_y
_atom_site_fract_z
V1 V 0.000 0.000 0.000
Te1 Te 0.500 0.500 0.500
S1 S 0.000 0.000 0.500
N1 N 0.000 0.500 0.000
```



<four>
This record from Alexandria describes an optimized crystal structure of VTeSN2. The functional is PBE.

Properties
N(E_F): 2.0 states/eV/f.u.
Total magnetic moment: 0.5 μB/cell

```
data_VTeSN2
_cell_length_a 3.760
_cell_length_b 3.760
_cell_length_c 5.871
_cell_angle_alpha 90.00
_cell_angle_beta 90.00
_cell_angle_gamma 90.00
_space_group_name_H-M_alt 'P 4/m m m'
_space_group_IT_number 123
_space_group_name_Hall '-P 4 2'
loop_
_atom_site_label
_atom_site_type_symbol
_atom_site_fract_x
_atom_site_fract_y
_atom_site_fract_z
V1 V 0.000 0.000 0.000
Te1 Te 0.000 0.000 0.500
S1 S 0.500 0.500 0.500
N1 N 0.000 0.500 0.000
```



The most stable arrangement is <four>, and the next structure is 2.9 kJ/mol of atoms less stable.



<one>
This record from Alexandria describes an optimized crystal structure of Te2WSN. The functional is PBE.

Properties
N(E_F): 3.8 states/eV/f.u.
Total magnetic moment: 1.1 μB/cell

```
data_Te2WSN
_cell_length_a 5.315
_cell_length_b 5.315
_cell_length_c 3.299
_cell_angle_alpha 90.00
_cell_angle_beta 90.00
_cell_angle_gamma 90.00
_space_group_name_H-M_alt 'P 4/m m m'
_space_group_IT_number 123
_space_group_name_Hall '-P 4 2'
loop_
_atom_site_label
_atom_site_type_symbol
_atom_site_fract_x
_atom_site_fract_y
_atom_site_fract_z
Te1 Te 0.000 0.500 0.000
W1 W 0.000 0.000 0.500
S1 S 0.500 0.500 0.000
N1 N 0.500 0.500 0.500
```



<two>
This record from Alexandria describes an optimized crystal structure of Te2WSN. The functional is PBE.

Properties
N(E_F): 2.3 states/eV/f.u.
Total magnetic moment: 0.0 μB/cell

```
data_Te2WSN
_cell_length_a 5.366
_cell_length_b 5.366
_cell_length_c 3.812
_cell_angle_alpha 90.00
_cell_angle_beta 90.00
_cell_angle_gamma 90.00
_space_group_name_H-M_alt 'P 4/m m m'
_space_group_IT_number 123
_space_group_name_Hall '-P 4 2'
loop_
_atom_site_label
_atom_site_type_symbol
_atom_site_fract_x
_atom_site_fract_y
_atom_site_fract_z
Te1 Te 0.000 0.500 0.000
W1 W 0.000 0.000 0.000
S1 S 0.500 0.500 0.500
N1 N 0.000 0.000 0.500
```



The most stable arrangement is <two>, and the next structure is 82.3 kJ/mol of atoms less stable.